1.
! LiCo2Pt (SCAN, PBEsol geometry); values from VASP
! DOS(E_F): 2.799 states/eV/f.u.
! calculated total energy: -106.71 eV for the cell shown
! space group: No. 123
! crystal system: tetragonal
! energy of formation from the pure elements: 0.1203 eV/atom
&SYSTEM
  ibrav = 0, nat = 4, ntyp = 3
/
ATOMIC_SPECIES
Co 58.93 Co.upf
Li 6.94 Li.upf
Pt 195.08 Pt.upf
CELL_PARAMETERS angstrom
2.601 0.000 0.000
0.000 2.601 0.000
0.000 0.000 7.380
ATOMIC_POSITIONS crystal
Co 0.000 0.000 0.749
Li 0.500 0.500 0.000
Pt 0.500 0.500 0.500
Co 0.000 0.000 0.251

=====

2.
! LiCoPt2 (SCAN, PBEsol geometry); values from VASP
! DOS(E_F): 2.669 states/eV/f.u.
! calculated total energy: -161.56 eV for the cell shown
! space group: No. 123
! crystal system: tetragonal
! energy of formation from the pure elements: -0.3687 eV/atom
&SYSTEM
  ibrav = 0, nat = 4, ntyp = 3
/
ATOMIC_SPECIES
Pt 195.08 Pt.upf
Li 6.94 Li.upf
Co 58.93 Co.upf
CELL_PARAMETERS angstrom
2.691 0.000 0.000
0.000 2.691 0.000
0.000 0.000 7.276
ATOMIC_POSITIONS crystal
Pt 0.000 0.000 0.241
Li 0.500 0.500 0.500
Co 0.500 0.500 0.000
Pt 0.000 0.000 0.759

=====

3.
! LiCo2Pt (SCAN, PBEsol geometry); values from VASP
! DOS(E_F): 2.463 states/eV/f.u.
! calculated total energy: -107.69 eV for the cell shown
! space group: No. 139
! crystal system: tetragonal
! energy of formation from the pure elements: -0.1257 eV/atom
&SYSTEM
  ibrav = 0, nat = 4, ntyp = 3
/
ATOMIC_SPECIES
Co 58.93 Co.upf
Li 6.94 Li.upf
Pt 195.08 Pt.upf
CELL_PARAMETERS angstrom
3.468 0.000 0.000
0.000 3.468 0.000
-1.734 -1.734 3.883
ATOMIC_POSITIONS crystal
Co 0.250 0.750 0.500
Co 0.750 0.250 0.500
Li 0.500 0.500 0.000
Pt 0.000 0.000 0.000

=====

4.
! LiCo2Pt (SCAN, PBEsol geometry); values from VASP
! DOS(E_F): 1.951 states/eV/f.u.
! calculated total energy: -107.99 eV for the cell shown
! space group: No. 47
! crystal system: orthorhombic
! energy of formation from the pure elements: -0.2006 eV/atom
&SYSTEM
  ibrav = 0, nat = 4, ntyp = 3
/
ATOMIC_SPECIES
Co 58.93 Co.upf
Pt 195.08 Pt.upf
Li 6.94 Li.upf
CELL_PARAMETERS angstrom
-2.440 0.628 1.153
1.135 -1.744 3.353
1.599 3.686 1.376
ATOMIC_POSITIONS crystal
Co 0.500 0.500 0.000
Co 0.000 0.000 0.000
Pt 0.000 0.500 0.500
Li 0.500 0.000 0.500

=====

5.
! LiCo2Pt (SCAN, PBEsol geometry); values from VASP
! DOS(E_F): 2.476 states/eV/f.u.
! calculated total energy: -107.75 eV for the cell shown
! space group: No. 44
! crystal system: orthorhombic
! energy of formation from the pure elements: -0.1407 eV/atom
&SYSTEM
  ibrav = 0, nat = 4, ntyp = 3
/
ATOMIC_SPECIES
Pt 195.08 Pt.upf
Li 6.94 Li.upf
Co 58.93 Co.upf
CELL_PARAMETERS angstrom
-0.250 2.193 1.622
0.402 -2.482 3.418
3.992 0.676 -2.612
ATOMIC_POSITIONS crystal
Pt 0.253 0.753 0.506
Li 0.492 0.492 0.984
Co 0.741 0.241 0.482
Co 0.014 0.014 0.028

=====

6.
! LiCo2Pt (SCAN, PBEsol geometry); values from VASP
! DOS(E_F): 1.551 states/eV/f.u.
! calculated total energy: -107.67 eV for the cell shown
! space group: No. 123
! crystal system: tetragonal
! energy of formation from the pure elements: -0.1198 eV/atom
&SYSTEM
  ibrav = 0, nat = 4, ntyp = 3
/
ATOMIC_SPECIES
Co 58.93 Co.upf
Li 6.94 Li.upf
Pt 195.08 Pt.upf
CELL_PARAMETERS angstrom
-0.338 2.622 -0.206
-1.223 -0.478 -4.074
-4.065 -0.424 1.270
ATOMIC_POSITIONS crystal
Co 0.000 0.500 0.000
Li 0.500 0.500 0.500
Pt 0.500 0.000 0.000
Co 0.000 0.000 0.500

=====

7.
! LiCoPt2 (SCAN, PBEsol geometry); values from VASP
! DOS(E_F): 1.849 states/eV/f.u.
! calculated total energy: -161.75 eV for the cell shown
! space group: No. 65
! crystal system: orthorhombic
! energy of formation from the pure elements: -0.4163 eV/atom
&SYSTEM
  ibrav = 0, nat = 4, ntyp = 3
/
ATOMIC_SPECIES
Pt 195.08 Pt.upf
Co 58.93 Co.upf
Li 6.94 Li.upf
CELL_PARAMETERS angstrom
2.659 0.000 0.000
0.000 4.447 -0.002
0.000 -1.165 4.291
ATOMIC_POSITIONS crystal
Pt 0.000 0.500 0.000
Co 0.500 0.000 0.000
Li 0.500 0.500 0.500
Pt 0.000 0.000 0.500

=====

8.
! Li2CoRe (SCAN, PBEsol geometry); values from VASP
! DOS(E_F): 1.845 states/eV/f.u.
! ΔE to the lowest computed polymorph: 0.000 eV/atom
! calculated total energy: -92.27 eV for the cell shown
! space group: No. 71
! crystal system: orthorhombic
! energy of formation from the pure elements: 0.2283 eV/atom
&SYSTEM
  ibrav = 0, nat = 4, ntyp = 3
/
ATOMIC_SPECIES
Li 6.94 Li.upf
Re 186.21 Re.upf
Co 58.93 Co.upf
CELL_PARAMETERS angstrom
-0.825 2.298 -0.789
-1.520 0.781 3.860
5.169 0.308 -0.336
ATOMIC_POSITIONS crystal
Li 0.267 0.267 0.534
Re 0.500 0.000 0.000
Co 0.000 0.500 0.000
Li 0.733 0.733 0.466

=====

9.
! LiCoRe2 (SCAN, PBEsol geometry); values from VASP
! DOS(E_F): 2.399 states/eV/f.u.
! calculated total energy: -161.06 eV for the cell shown
! space group: No. 6
! crystal system: monoclinic
! energy of formation from the pure elements: 0.2082 eV/atom
&SYSTEM
  ibrav = 0, nat = 4, ntyp = 3
/
ATOMIC_SPECIES
Re 186.21 Re.upf
Li 6.94 Li.upf
Co 58.93 Co.upf
CELL_PARAMETERS angstrom
-0.897 2.231 0.901
-3.041 -1.992 1.905
2.961 -1.064 3.613
ATOMIC_POSITIONS crystal
Re 0.775 0.500 0.258
Re 0.986 0.000 0.979
Li 0.345 0.500 0.747
Co 0.394 0.000 0.516

=====

10.
! Li2CoRe (SCAN, PBEsol geometry); values from VASP
! DOS(E_F): 2.322 states/eV/f.u.
! ΔE to the lowest computed polymorph: 0.158 eV/atom
! calculated total energy: -91.64 eV for the cell shown
! space group: No. 47
! crystal system: orthorhombic
! energy of formation from the pure elements: 0.3863 eV/atom
&SYSTEM
  ibrav = 0, nat = 4, ntyp = 3
/
ATOMIC_SPECIES
Li 6.94 Li.upf
Re 186.21 Re.upf
Co 58.93 Co.upf
CELL_PARAMETERS angstrom
-0.084 -2.060 1.365
2.730 1.815 2.908
-3.652 1.712 2.360
ATOMIC_POSITIONS crystal
Li 0.000 0.000 0.252
Re 0.500 0.500 0.000
Co 0.500 0.500 0.500
Li 0.000 0.000 0.748

=====

11.
! Li2CoRe (SCAN, PBEsol geometry); values from VASP
! DOS(E_F): 2.958 states/eV/f.u.
! ΔE to the lowest computed polymorph: 0.672 eV/atom
! calculated total energy: -89.58 eV for the cell shown
! space group: No. 225
! crystal system: cubic
! energy of formation from the pure elements: 0.9003 eV/atom
&SYSTEM
  ibrav = 0, nat = 4, ntyp = 3
/
ATOMIC_SPECIES
Li 6.94 Li.upf
Co 58.93 Co.upf
Re 186.21 Re.upf
CELL_PARAMETERS angstrom
-0.183 1.582 -3.686
2.305 -1.479 -2.936
-1.663 -2.087 -3.000
ATOMIC_POSITIONS crystal
Li 0.250 0.250 0.250
Li 0.750 0.750 0.750
Co 0.000 0.000 0.000
Re 0.500 0.500 0.500

=====

12.
! Li2CoRe (SCAN, PBEsol geometry); values from VASP
! DOS(E_F): 0.769 states/eV/f.u.
! ΔE to the lowest computed polymorph: 0.105 eV/atom
! calculated total energy: -91.85 eV for the cell shown
! space group: No. 216
! crystal system: cubic
! energy of formation from the pure elements: 0.3337 eV/atom
&SYSTEM
  ibrav = 0, nat = 4, ntyp = 3
/
ATOMIC_SPECIES
Co 58.93 Co.upf
Li 6.94 Li.upf
Re 186.21 Re.upf
CELL_PARAMETERS angstrom
-3.256 -1.999 1.174
0.348 -3.077 2.528
-1.309 0.346 3.761
ATOMIC_POSITIONS crystal
Co 0.500 0.500 0.500
Li 0.000 0.000 0.000
Li 0.750 0.750 0.750
Re 0.250 0.250 0.250

=====

Look up the DOS(E_F) of the third one.
2.463 states/eV/f.u.

=====

Please write out number 5 again, unchanged.
! LiCo2Pt (SCAN, PBEsol geometry); values from VASP
! DOS(E_F): 2.476 states/eV/f.u.
! calculated total energy: -107.75 eV for the cell shown
! space group: No. 44
! crystal system: orthorhombic
! energy of formation from the pure elements: -0.1407 eV/atom
&SYSTEM
  ibrav = 0, nat = 4, ntyp = 3
/
ATOMIC_SPECIES
Pt 195.08 Pt.upf
Li 6.94 Li.upf
Co 58.93 Co.upf
CELL_PARAMETERS angstrom
-0.250 2.193 1.622
0.402 -2.482 3.418
3.992 0.676 -2.612
ATOMIC_POSITIONS crystal
Pt 0.253 0.753 0.506
Li 0.492 0.492 0.984
Co 0.741 0.241 0.482
Co 0.014 0.014 0.028

=====

The lowest energy of formation from the pure elements belongs to which entry?
number 7